5
Lattice="5.436 0.000 0.000 0.000 5.436 0.000 0.000 0.000 5.308" Properties=species:S:1:pos:R:3 comment="MoPbSeBr2 | Alexandria | PBE | relaxed" space_group="P4/mmm, No. 123" polymorph_energy_ev_per_atom=0.000 pbc="T T T"
Br 2.718 0.000 0.000
Br 0.000 2.718 0.000
Pb 2.718 2.718 2.654
Mo 0.000 0.000 0.000
Se 0.000 0.000 2.654

5
Lattice="5.264 0.000 0.000 0.000 5.243 0.000 0.000 0.000 5.264" Properties=species:S:1:pos:R:3 comment="Tc2MoPbBr | Alexandria | PBE | relaxed" space_group="P4/mmm, No. 123" pbc="T T T"
Mo 0.000 2.622 0.000
Tc 0.000 0.000 2.632
Tc 2.632 0.000 0.000
Br 2.632 2.622 2.632
Pb 0.000 0.000 0.000

5
Lattice="-1.401 5.409 2.561 -3.103 -2.609 3.813 4.906 -0.468 3.673" Properties=species:S:1:pos:R:3 comment="Tl2MoPbBr | Alexandria | PBE | relaxed" space_group="P4/mmm, No. 123" pbc="T T T"
Br 0.201 1.166 5.023
Pb 0.000 0.000 0.000
Tl -0.700 2.704 1.280
Tl 2.453 -0.234 1.836
Mo -1.552 -1.304 1.906

| no. | raw formation energy (kJ per mole of atoms) | calculated total energy (eV per atom) |
| --- | --- | --- |
| 1 | 5 | -4.22 |
| 2 | 241 | -4.89 |
| 3 | 78 | -3.38 |